[1]
The following is a DFT calculation (PBE) of crystalline AcPrTm2 at its relaxed geometry.

Summary:
density: 8.41 g/cm3
formation enthalpy at 0 K: 4.7 kJ/mol of atoms
total magnetic moment: 0.0 μB per formula unit

Lattice parameters (Å, degrees): 4.9783 5.2908 5.2908 90.00 90.00 90.00
Last column: nearest neighbours and their distance in Å.
Atoms (fractional coordinates):
Ac 0.5000 0.5000 0.5000  8 Tm 3.63, 4 Pr 3.74
Tm 0.0000 0.0000 0.5000  4 Ac 3.63, 4 Pr 3.63, 4 Tm 3.74
Tm 0.0000 0.5000 0.0000  4 Ac 3.63, 4 Pr 3.63, 4 Tm 3.74
Pr 0.5000 0.0000 0.0000  8 Tm 3.63, 4 Ac 3.74



[2]
The following is a DFT calculation (PBE) of crystalline ZrNbB2 at its relaxed geometry.

Summary:
density: 4.99 g/cm3
formation enthalpy at 0 K: 46.8 kJ/mol of atoms
total magnetic moment: 0.0 μB per formula unit

Lattice parameters (Å, degrees): 5.1451 5.1451 6.3211 65.98 65.98 90.00
Last column: nearest neighbours and their distance in Å.
Atoms (fractional coordinates):
B 0.6492 0.1250 0.2500  2 Nb 2.16, 2 Zr 2.31
B 0.8750 0.8992 0.7500  2 Nb 2.16, 2 Zr 2.31
B 0.1008 0.6250 0.2500  2 Nb 2.16, 2 Zr 2.31
B 0.3750 0.3508 0.7500  2 Nb 2.16, 2 Zr 2.31
Zr 0.2500 0.7500 0.5000  4 B 2.31
Zr 0.5000 0.5000 0.0000  4 B 2.31
Nb 0.7500 0.2500 0.5000  4 B 2.16
Nb 0.0000 0.0000 0.0000  4 B 2.16



[3]
The following is a DFT calculation (PBE) of crystalline KHo2MnSe4 at its relaxed geometry.

Summary:
formation energy (no corrections): -1.438 eV/atom
density: 5.87 g/cm3
total magnetic moment: 4.1 μB per formula unit

Lattice parameters (Å, degrees): 4.1150 7.3546 14.4156 90.00 90.00 106.25
Last column: nearest neighbours and their distance in Å.
Atoms (fractional coordinates):
Mn 0.8348 0.6695 0.7500  4 Se 2.47-2.50
Mn 0.1652 0.3305 0.2500  4 Se 2.47-2.50
Ho 0.3679 0.7358 0.9385  6 Se 2.86-2.92
Ho 0.3679 0.7358 0.5615  6 Se 2.86-2.92
Ho 0.6321 0.2642 0.0615  6 Se 2.86-2.92
Ho 0.6321 0.2642 0.4385  6 Se 2.86-2.92
Se 0.4356 0.8713 0.7500  2 Mn 2.50
Se 0.2657 0.5314 0.1100  1 Mn 2.47
Se 0.0000 0.0000 0.0000  4 Ho 2.92
Se 0.0000 0.0000 0.5000  4 Ho 2.92
Se 0.2657 0.5314 0.3900  1 Mn 2.47
Se 0.7343 0.4686 0.8900  1 Mn 2.47
Se 0.5644 0.1287 0.2500  2 Mn 2.50
Se 0.7343 0.4686 0.6100  1 Mn 2.47
K 0.1107 0.2214 0.7500  6 Se 3.22-3.37
K 0.8893 0.7786 0.2500  6 Se 3.22-3.37



[4]
The following is a DFT calculation (PBE) of crystalline TaNi2Te at its relaxed geometry.

Summary:
formation energy (no corrections): 0.212 eV/atom
density: 10.72 g/cm3
total magnetic moment: 0.0 μB per formula unit

Lattice parameters (Å, degrees): 6.9591 6.9591 5.6243 51.78 51.78 90.00
Last column: nearest neighbours and their distance in Å.
Atoms (fractional coordinates):
Te 0.5000 0.5000 0.0000  4 Ni 2.53, 2 Ta 2.72
Te 0.2500 0.7500 0.5000  4 Ni 2.53, 2 Ta 2.72
Ta 0.0000 0.0000 0.0000  4 Ni 2.58, 2 Te 2.72
Ta 0.7500 0.2500 0.5000  4 Ni 2.58, 2 Te 2.72
Ni 0.1305 0.6250 0.2500  2 Te 2.53, 2 Ta 2.58, 2 Ni 2.72
Ni 0.6195 0.1250 0.2500  2 Te 2.53, 2 Ta 2.58, 2 Ni 2.72
Ni 0.3750 0.3805 0.7500  2 Te 2.53, 2 Ta 2.58, 2 Ni 2.72
Ni 0.8750 0.8695 0.7500  2 Te 2.53, 2 Ta 2.58, 2 Ni 2.72